1.
VASP calculation (PBE) on a relaxed Ce2SmHg crystal.

a = 4.6283 Å, b = 4.2889 Å, c = 11.4824 Å
α = 90.00°, β = 99.66°, γ = 90.00°
Positions (direct):
1 Ce 0.0043 0.2500 0.3873
2 Ce 0.3915 0.7500 0.3859
3 Ce 0.6085 0.2500 0.6141
4 Ce 0.9957 0.7500 0.6127
5 Sm 0.3010 0.2500 0.1051
6 Sm 0.6990 0.7500 0.8949
7 Hg 0.1824 0.2500 0.8289
8 Hg 0.8176 0.7500 0.1711

Output
symmetry = No. 11
E_form = -0.184 eV per atom
energy above the most stable polymorph in this dataset = 0 meV per atom

***

2.
VASP calculation (PBE) on a relaxed CeSmHg5 crystal.

a = 5.2339 Å, b = 5.2339 Å, c = 7.0735 Å
α = 90.00°, β = 90.00°, γ = 90.00°
Positions (direct):
1 Ce 0.0000 0.0000 0.0000
2 Sm 0.5000 0.5000 0.5000
3 Hg 0.0000 0.5000 0.2689
4 Hg 0.0000 0.5000 0.7311
5 Hg 0.5000 0.0000 0.2689
6 Hg 0.5000 0.0000 0.7311
7 Hg 0.5000 0.5000 0.0000

Output
symmetry = No. 123
E_form = -0.244 eV per atom

***

3.
VASP calculation (PBE) on a relaxed CeSm6Hg5 crystal.

a = 9.3302 Å, b = 9.3302 Å, c = 9.3302 Å
α = 146.75°, β = 130.37°, γ = 61.06°
Positions (direct):
1 Ce 0.0000 0.0000 0.0000
2 Sm 0.0856 0.8293 0.2563
3 Sm 0.2722 0.5000 0.7722
4 Sm 0.4270 0.1707 0.2563
5 Sm 0.5730 0.8293 0.7437
6 Sm 0.7278 0.5000 0.2278
7 Sm 0.9144 0.1707 0.7437
8 Hg 0.1525 0.6525 0.5000
9 Hg 0.3291 0.3291 0.0000
10 Hg 0.5000 0.0000 0.5000
11 Hg 0.6709 0.6709 0.0000
12 Hg 0.8475 0.3475 0.5000

Output
symmetry = No. 71
E_form = -0.334 eV per atom

***

4.
VASP calculation (PBE) on a relaxed CeSm4Hg2 crystal.

a = 10.4493 Å, b = 10.4493 Å, c = 10.4493 Å
α = 28.64°, β = 28.64°, γ = 28.64°
Positions (direct):
1 Ce 0.0000 0.0000 0.0000
2 Sm 0.2081 0.2081 0.2081
3 Sm 0.3829 0.3829 0.3829
4 Sm 0.6171 0.6171 0.6171
5 Sm 0.7919 0.7919 0.7919
6 Hg 0.1022 0.1022 0.1022
7 Hg 0.8978 0.8978 0.8978

Output
symmetry = No. 166
E_form = 0.061 eV per atom